<w>
Below is TaCoN2F after structural relaxation, with properties calculated at the PBE+U level.

For the density, the calculation gives 9.6 Mg/m³. As for the magnetization: 0.73 μB per cell. As for the volume: 50 Å³/cell.

abc: 3.767 3.767 3.493
angles: 90.00 90.00 90.00
Element x y z (fractional)
Ta 0.000 0.000 0.000
Co 0.500 0.500 0.500
N 0.000 0.500 0.500
N 0.500 0.000 0.500
F 0.500 0.500 0.000

<x>
Below is TaCoN2F after structural relaxation, with properties calculated at the PBE+U level.

For the density, the calculation gives 7.2 Mg/m³. As for the magnetization: 2.48 μB per cell. As for the volume: 66 Å³/cell.

abc: 4.070 4.070 3.971
angles: 90.00 90.00 90.00
Element x y z (fractional)
Ta 0.000 0.000 0.000
Co 0.500 0.500 0.500
N 0.000 0.500 0.000
N 0.500 0.000 0.000
F 0.000 0.000 0.500

Which of them is least stable? Easy: <w>.

<w>
Below is CoTcN2F after structural relaxation, with properties calculated at the PBE+U level.

For the density, the calculation gives 5.5 Mg/m³. As for the magnetization: 2.26 μB per cell. As for the volume: 61 Å³/cell.

abc: 3.869 3.869 4.095
angles: 90.00 90.00 90.00
Element x y z (fractional)
Co 0.000 0.000 0.000
Tc 0.500 0.500 0.500
N 0.000 0.500 0.500
N 0.500 0.000 0.500
F 0.500 0.500 0.000

<x>
Below is CoTcN2F after structural relaxation, with properties calculated at the PBE+U level.

For the density, the calculation gives 6.6 Mg/m³. As for the magnetization: 2.93 μB per cell. As for the volume: 51 Å³/cell.

abc: 3.779 3.779 3.597
angles: 90.00 90.00 90.00
Element x y z (fractional)
Co 0.000 0.000 0.000
Tc 0.500 0.500 0.500
N 0.000 0.500 0.000
N 0.500 0.000 0.000
F 0.000 0.000 0.500

Which of them is least stable? Easy: <x>.

<w>
Below is CoTeNF2 after structural relaxation, with properties calculated at the PBE+U level.

For the density, the calculation gives 4.7 Mg/m³. As for the magnetization: 2.68 μB per cell. As for the volume: 85 Å³/cell.

abc: 4.524 4.524 4.151
angles: 90.00 90.00 90.00
Element x y z (fractional)
Co 0.000 0.000 0.000
Te 0.500 0.500 0.500
N 0.500 0.500 0.000
F 0.000 0.500 0.500
F 0.500 0.000 0.500

<x>
Below is CoTeNF2 after structural relaxation, with properties calculated at the PBE+U level.

For the density, the calculation gives 5.9 Mg/m³. As for the magnetization: 2.23 μB per cell. As for the volume: 67 Å³/cell.

abc: 3.854 3.854 4.510
angles: 90.00 90.00 90.00
Element x y z (fractional)
Co 0.000 0.000 0.000
Te 0.500 0.500 0.500
N 0.000 0.000 0.500
F 0.000 0.500 0.000
F 0.500 0.000 0.000

Which of them is least stable? Easy: <w>.

<w>
Below is CoTe2NF after structural relaxation, with properties calculated at the PBE+U level.

For the density, the calculation gives 6.4 Mg/m³. As for the magnetization: 0.01 μB per cell. As for the volume: 90 Å³/cell.

abc: 5.205 5.205 3.318
angles: 90.00 90.00 90.00
Element x y z (fractional)
Co 0.000 0.000 0.000
Te 0.000 0.500 0.000
Te 0.500 0.000 0.000
N 0.000 0.000 0.500
F 0.500 0.500 0.500

<x>
Below is CoTe2NF after structural relaxation, with properties calculated at the PBE+U level.

For the density, the calculation gives 5.5 Mg/m³. As for the magnetization: 0.17 μB per cell. As for the volume: 105 Å³/cell.

abc: 4.798 4.798 4.562
angles: 90.00 90.00 90.00
Element x y z (fractional)
Co 0.000 0.000 0.000
Te 0.000 0.500 0.500
Te 0.500 0.000 0.500
N 0.500 0.500 0.000
F 0.500 0.500 0.500

Which of them is least stable? Easy: <x>.